## Cr2RuO2 (GGA+U)

Data for an optimized crystal structure of Cr2RuO2.

Lattice parameters (Å, degrees): 5.015 5.015 5.015 130.74 130.74 72.23
Atoms (fractional coordinates):
Cr  0.250  0.750  0.500
Cr  0.750  0.250  0.500
Ru  0.000  0.000  0.000
O  0.250  0.250  0.000
O  0.750  0.750  0.000

Its density of states at the Fermi level is 0.495 states/eV per atom. The value obtained for the energy above the lowest structure with this stoichiometry is 0 meV per atom. The value obtained for the spin magnetization is 6.00 μB/f.u.